Record 1
A relaxed ReBr crystal. Source: Alexandria via LeMat-Bulk, functional GGA-PBE.

Unit cell a=6.944 b=6.944 c=6.944 alpha=90.00 beta=90.00 gamma=90.00
Last column: magnetic moment on the atom in μB.
Element x y z (fractional)
Re 0.500 0.750 0.000  0.57
Re 0.000 0.500 0.750  0.57
Re 0.000 0.500 0.250  0.57
Re 0.500 0.250 0.000  0.57
Re 0.250 0.000 0.500  0.57
Re 0.750 0.000 0.500  0.57
Br 0.500 0.000 0.250  0.01
Br 0.000 0.750 0.500  0.01
Br 0.000 0.250 0.500  0.01
Br 0.750 0.500 0.000  0.01
Br 0.250 0.500 0.000  0.01
Br 0.500 0.000 0.750  0.01

Output
Calculated volume = 56 Å³/f.u.
Formation energy from raw total energies = 2.27 eV per atom
Offset from the most stable computed form = 2034 meV/atom



Record 2
A relaxed Ti2VPd6 crystal. Source: Alexandria via LeMat-Bulk, functional GGA-PBE.

Unit cell a=4.006 b=8.278 c=8.279 alpha=90.00 beta=90.01 gamma=90.00
Last column: magnetic moment on the atom in μB.
Element x y z (fractional)
Pd 0.500 0.825 0.007  0.02
Pd 0.000 0.993 0.825  0.02
Pd 0.500 0.851 0.351  0.04
Pd 0.500 0.493 0.675  0.02
Pd 0.000 0.649 0.851  0.04
Pd 0.000 0.675 0.507  0.02
Pd 0.500 0.175 0.993  0.02
Pd 0.000 0.351 0.149  0.04
Pd 0.000 0.325 0.493  0.02
Pd 0.500 0.507 0.325  0.02
Pd 0.500 0.149 0.649  0.04
Pd 0.000 0.007 0.175  0.02
Ti 0.000 0.683 0.183  0.17
Ti 0.500 0.817 0.683  0.17
Ti 0.500 0.183 0.317  0.17
Ti 0.000 0.317 0.817  0.17
V 0.500 0.500 0.000  1.59
V 0.000 0.000 0.500  1.59

Output
ΔE_f = -0.47 eV/atom
Calculated volume = 137 Å³/f.u.



- Which of these has the lowest calculated volume?
  ReBr